## Mn3HgI8 (PBE)

Data for an optimized crystal structure of Mn3HgI8.

Calculated values
E ... -44.685 eV/f.u.
Magnetization ... 15.0 μB per cell

Lattice parameters (Å, degrees): 8.431 8.437 8.977 118.44 90.00 119.98
Last column: magnetic moment on the atom in μB.
Fractional positions:
Mn 0.500 0.000 0.000  4.36
Mn 0.500 0.500 0.000  4.36
Mn 0.000 0.500 0.000  4.36
Hg 0.000 0.000 0.000  0.02
I 0.259 0.519 0.781  0.09
I 0.741 0.481 0.219  0.09
I 0.271 0.022 0.776  0.07
I 0.751 0.022 0.776  0.07
I 0.751 0.501 0.776  0.07
I 0.249 0.499 0.224  0.07
I 0.249 0.978 0.224  0.07
I 0.729 0.978 0.224  0.07

=====

## Mn2HgI6 (PBE)

Data for an optimized crystal structure of Mn2HgI6.

Calculated values
Energy above the most stable polymorph in this dataset ... 0.000 eV per atom
Magnetization ... 20.0 μB per cell

Lattice parameters (Å, degrees): 7.400 11.173 11.173 91.29 73.16 73.16
Last column: magnetic moment on the atom in μB.
Fractional positions:
Mn 0.149 0.637 0.795  4.29
Mn 0.351 0.205 0.363  4.29
Mn 0.851 0.363 0.205  4.29
Mn 0.649 0.795 0.637  4.29
Hg 0.250 0.210 0.790  0.03
Hg 0.750 0.790 0.210  0.03
I 0.336 0.742 0.596  0.07
I 0.164 0.404 0.258  0.07
I 0.664 0.258 0.404  0.07
I 0.836 0.596 0.742  0.07
I 0.896 0.822 0.414  0.04
I 0.604 0.586 0.178  0.04
I 0.104 0.178 0.586  0.04
I 0.396 0.414 0.822  0.04
I 0.083 0.796 0.998  0.05
I 0.417 0.002 0.204  0.05
I 0.917 0.204 0.002  0.05
I 0.583 0.998 0.796  0.05

=====

## Mn4HgI8 (PBE)

Data for an optimized crystal structure of Mn4HgI8.

Calculated values
E ... -54.420 eV/f.u.
Magnetization ... 20.0 μB per cell

Lattice parameters (Å, degrees): 8.310 8.310 11.284 90.00 111.61 120.00
Last column: magnetic moment on the atom in μB.
Fractional positions:
Mn 0.000 0.000 0.000  4.36
Mn 0.000 0.500 0.000  4.36
Mn 0.500 0.500 0.000  4.36
Mn 0.500 0.000 0.000  4.36
Hg 0.000 0.500 0.500  0.01
I 0.441 0.721 0.162  0.10
I 0.559 0.279 0.838  0.10
I 0.441 0.221 0.162  0.10
I 0.059 0.279 0.838  0.10
I 0.559 0.779 0.838  0.10
I 0.059 0.779 0.838  0.10
I 0.941 0.221 0.162  0.10
I 0.941 0.721 0.162  0.10

=====

## MnHgI (PBE)

Data for an optimized crystal structure of MnHgI.

Calculated values
Energy above the most stable polymorph in this dataset ... 0.274 eV per atom
Magnetization ... 3.5 μB per cell

Lattice parameters (Å, degrees): 4.242 6.830 7.569 106.91 104.14 92.04
Last column: magnetic moment on the atom in μB.
Fractional positions:
Mn 0.780 0.543 0.475  1.51
Mn 0.220 0.457 0.525  1.51
Hg 0.012 0.193 0.691  0.04
Hg 0.988 0.807 0.309  0.04
I 0.635 0.744 0.783  0.01
I 0.365 0.256 0.217  0.01

=====

## Mn2HgI (PBE)

Data for an optimized crystal structure of Mn2HgI.

Calculated values
Energy above the most stable polymorph in this dataset ... 0.000 eV per atom
Magnetization ... 17.8 μB per cell

Lattice parameters (Å, degrees): 5.023 5.023 9.513 74.69 74.69 90.00
Last column: magnetic moment on the atom in μB.
Fractional positions:
I 0.500 0.500 0.000  0.05
I 0.250 0.750 0.500  0.05
Mn 0.695 0.125 0.250  4.07
Mn 0.055 0.625 0.250  4.07
Mn 0.375 0.305 0.750  4.08
Mn 0.875 0.945 0.750  4.08
Hg 0.000 0.000 0.000  0.01
Hg 0.750 0.250 0.500  0.00

=====

## MnHg2I8 (PBE)

Data for an optimized crystal structure of MnHg2I8.

Calculated values
E ... -24.566 eV/f.u.
Magnetization ... 2.9 μB per cell

Lattice parameters (Å, degrees): 7.169 8.861 8.861 59.83 94.33 94.33
Last column: magnetic moment on the atom in μB.
Fractional positions:
Mn 0.000 0.000 0.000  3.33
Hg 0.459 0.170 0.170  0.01
Hg 0.541 0.830 0.830  0.01
I 0.760 0.161 0.717  -0.04
I 0.240 0.283 0.839  -0.04
I 0.854 0.159 0.159  -0.05
I 0.146 0.841 0.841  -0.05
I 0.760 0.717 0.161  -0.04
I 0.240 0.839 0.283  -0.04
I 0.391 0.343 0.343  -0.08
I 0.609 0.657 0.657  -0.08

=====

## MnHg3I (PBE)

Data for an optimized crystal structure of MnHg3I.

Calculated values
Energy above the most stable polymorph in this dataset ... 0.000 eV per atom
Magnetization ... 4.4 μB per cell

Lattice parameters (Å, degrees): 5.429 5.429 5.429 90.00 90.00 90.00
Last column: magnetic moment on the atom in μB.
Fractional positions:
I 0.500 0.500 0.500  0.06
Mn 0.000 0.000 0.000  3.95
Hg 0.000 0.500 0.000  0.04
Hg 0.000 0.000 0.500  0.01
Hg 0.500 0.000 0.000  0.00

=====

## MnHgI (PBE)

Data for an optimized crystal structure of MnHgI.

Calculated values
Energy above the most stable polymorph in this dataset ... 0.028 eV per atom
Magnetization ... 8.3 μB per cell

Lattice parameters (Å, degrees): 4.061 7.242 6.876 93.80 107.32 106.47
Last column: magnetic moment on the atom in μB.
Fractional positions:
Mn 0.755 0.160 0.473  3.86
Mn 0.396 0.452 0.460  3.84
Hg 0.085 0.173 0.121  -0.01
Hg 0.373 0.102 0.766  0.00
I 0.466 0.784 0.280  0.03
I 0.076 0.542 0.729  0.05

=====

## MnHg2I2 (PBE)

Data for an optimized crystal structure of MnHg2I2.

Calculated values
E ... -13.088 eV/f.u.
Magnetization ... 10.0 μB per cell

Lattice parameters (Å, degrees): 7.546 7.546 7.455 90.00 90.00 90.00
Last column: magnetic moment on the atom in μB.
Fractional positions:
I 0.320 0.820 0.000  0.07
I 0.820 0.680 0.000  0.09
I 0.680 0.180 0.000  0.07
I 0.180 0.320 0.000  0.09
Mn 0.000 0.000 0.000  4.35
Mn 0.500 0.500 0.000  4.35
Hg 0.159 0.659 0.500  0.01
Hg 0.659 0.841 0.500  0.01
Hg 0.841 0.341 0.500  0.01
Hg 0.341 0.159 0.500  0.01

=====

## Mn3HgI (PBE)

Data for an optimized crystal structure of Mn3HgI.

Calculated values
Energy above the most stable polymorph in this dataset ... 0.000 eV per atom
Magnetization ... 14.0 μB per cell

Lattice parameters (Å, degrees): 5.226 5.226 5.226 90.00 90.00 90.00
Last column: magnetic moment on the atom in μB.
Fractional positions:
I 0.500 0.500 0.500  -0.15
Mn 0.000 0.500 0.000  -4.32
Mn 0.000 0.000 0.500  -4.43
Mn 0.500 0.000 0.000  -4.11
Hg 0.000 0.000 0.000  0.06

=====

## MnHgI2 (PBE)

Data for an optimized crystal structure of MnHgI2.

Calculated values
Energy above the most stable polymorph in this dataset ... 0.000 eV per atom
Magnetization ... 5.0 μB per cell

Lattice parameters (Å, degrees): 4.126 4.126 10.763 100.89 90.05 120.00
Last column: magnetic moment on the atom in μB.
Fractional positions:
Mn 0.586 0.925 0.552  4.35
Hg 0.081 0.925 0.052  0.01
I 0.866 0.487 0.394  0.10
I 0.304 0.362 0.711  0.10

=====

> What is the magnetization in the first record?

15.0 μB per cell

=====

> Which value of magnetization does entry 1 give?

15.0 μB per cell